(1)
# Dy2PaZn | Alexandria | PBE-GGA | relaxed
# V in Å³ per cell: 100
# ΔH_f (0 K) in eV per atom: 0.155
# Fermi-level density of states in states/eV per atom: 1.793
# Symmetry: P4/mmm, No. 123
# Crystal system: tetragonal
# Excess energy over the best structure of this formula in the dataset in eV per atom: 0.220
data_Dy2PaZn
_space_group_name_H-M_alt 'P 1'
_space_group_IT_number 1
_cell_length_a 4.480
_cell_length_b 4.736
_cell_length_c 4.736
_cell_angle_alpha 90.00
_cell_angle_beta 90.00
_cell_angle_gamma 90.00
loop_
_space_group_symop_operation_xyz
'x,y,z'
loop_
_atom_site_label
_atom_site_fract_x
_atom_site_fract_y
_atom_site_fract_z
Zn1 0.500 0.000 0.000
Pa1 0.500 0.500 0.500
Dy1 0.000 0.000 0.500
Dy2 0.000 0.500 0.000

=====

(2)
# ZrHgPd2 | Alexandria | PBE-GGA | relaxed
# V in Å³ per cell: 73
# ΔH_f (0 K) in eV per atom: -0.350
# Fermi-level density of states in states/eV per atom: 0.884
# Symmetry: P4/mmm, No. 123
# Crystal system: tetragonal
data_ZrHgPd2
_space_group_name_H-M_alt 'P 1'
_space_group_IT_number 1
_cell_length_a 3.230
_cell_length_b 4.763
_cell_length_c 4.763
_cell_angle_alpha 90.00
_cell_angle_beta 90.00
_cell_angle_gamma 90.00
loop_
_space_group_symop_operation_xyz
'x,y,z'
loop_
_atom_site_label
_atom_site_fract_x
_atom_site_fract_y
_atom_site_fract_z
Zr1 0.500 0.500 0.500
Hg1 0.500 0.000 0.000
Pd1 0.000 0.000 0.500
Pd2 0.000 0.500 0.000

=====

(3)
# Nd8PSe3S4 | Alexandria | PBE-GGA | relaxed
# V in Å³ per cell: 404
# Fermi-level density of states in states/eV per atom: 0.383
# Symmetry: R-3m, No. 166
# Crystal system: trigonal
# E_form (uncorrected) in meV per atom: -1920
data_Nd8PSe3S4
_space_group_name_H-M_alt 'P 1'
_space_group_IT_number 1
_cell_length_a 8.295
_cell_length_b 8.294
_cell_length_c 8.295
_cell_angle_alpha 120.01
_cell_angle_beta 120.00
_cell_angle_gamma 90.00
loop_
_space_group_symop_operation_xyz
'x,y,z'
loop_
_atom_site_label
_atom_site_fract_x
_atom_site_fract_y
_atom_site_fract_z
Nd1 0.246 0.760 0.014
Nd2 0.246 0.760 0.491
Nd3 0.242 0.226 0.484
Nd4 0.768 0.760 0.014
Nd5 0.232 0.240 0.986
Nd6 0.758 0.774 0.516
Nd7 0.754 0.240 0.509
Nd8 0.754 0.240 0.986
P1 0.000 0.500 0.000
Se1 0.500 0.500 0.000
Se2 0.500 0.500 0.500
Se3 0.000 0.500 0.500
S1 0.500 0.000 0.000
S2 0.500 0.000 0.500
S3 0.000 0.000 0.000
S4 0.000 0.000 0.500

=====

(4)
# Tb3IrPd | Alexandria | PBE-GGA | relaxed
# V in Å³ per cell: 257
# ΔH_f (0 K) in eV per atom: -0.698
# Fermi-level density of states in states/eV per atom: 0.766
# Symmetry: P-1, No. 2
# Crystal system: triclinic
data_Tb3IrPd
_space_group_name_H-M_alt 'P 1'
_space_group_IT_number 1
_cell_length_a 5.590
_cell_length_b 7.033
_cell_length_c 9.203
_cell_angle_alpha 129.40
_cell_angle_beta 73.55
_cell_angle_gamma 113.07
loop_
_space_group_symop_operation_xyz
'x,y,z'
loop_
_atom_site_label
_atom_site_fract_x
_atom_site_fract_y
_atom_site_fract_z
Tb1 0.446 0.813 0.147
Tb2 0.205 0.329 0.673
Tb3 0.900 0.766 0.757
Tb4 0.100 0.234 0.243
Tb5 0.554 0.187 0.853
Tb6 0.795 0.671 0.327
Ir1 0.934 0.692 0.014
Ir2 0.066 0.308 0.986
Pd1 0.717 0.200 0.519
Pd2 0.283 0.800 0.481

=====

(5)
# TlV2Ge2 | Alexandria | PBE-GGA | relaxed
# V in Å³ per cell: 86
# ΔH_f (0 K) in eV per atom: 0.215
# Fermi-level density of states in states/eV per atom: 0.952
# Symmetry: I4/mmm, No. 139
# Crystal system: tetragonal
data_TlV2Ge2
_space_group_name_H-M_alt 'P 1'
_space_group_IT_number 1
_cell_length_a 3.699
_cell_length_b 3.699
_cell_length_c 6.808
_cell_angle_alpha 74.24
_cell_angle_beta 74.24
_cell_angle_gamma 90.00
loop_
_space_group_symop_operation_xyz
'x,y,z'
loop_
_atom_site_label
_atom_site_fract_x
_atom_site_fract_y
_atom_site_fract_z
Tl1 0.000 0.000 0.000
Ge1 0.750 0.250 0.500
Ge2 0.250 0.750 0.500
V1 0.400 0.400 0.200
V2 0.600 0.600 0.800

=====

(6)
# TaAg2RhBr | Alexandria | PBE-GGA | relaxed
# V in Å³ per cell: 132
# Fermi-level density of states in states/eV per atom: 0.941
# Symmetry: P4/mmm, No. 123
# Crystal system: tetragonal
# E_form (uncorrected) in meV per atom: 1167
data_TaAg2RhBr
_space_group_name_H-M_alt 'P 1'
_space_group_IT_number 1
_cell_length_a 5.322
_cell_length_b 4.644
_cell_length_c 5.322
_cell_angle_alpha 90.00
_cell_angle_beta 90.00
_cell_angle_gamma 90.00
loop_
_space_group_symop_operation_xyz
'x,y,z'
loop_
_atom_site_label
_atom_site_fract_x
_atom_site_fract_y
_atom_site_fract_z
Rh1 0.000 0.500 0.000
Br1 0.500 0.500 0.500
Ag1 0.000 0.000 0.500
Ag2 0.500 0.000 0.000
Ta1 0.000 0.000 0.000

=====

(7)
# Pm8C3Se3N | Alexandria | PBE-GGA | relaxed
# V in Å³ per cell: 346
# Fermi-level density of states in states/eV per atom: 0.379
# Symmetry: R-3m, No. 166
# Crystal system: trigonal
# E_form (uncorrected) in meV per atom: -1015
data_Pm8C3Se3N
_space_group_name_H-M_alt 'P 1'
_space_group_IT_number 1
_cell_length_a 7.655
_cell_length_b 7.654
_cell_length_c 8.128
_cell_angle_alpha 118.08
_cell_angle_beta 90.00
_cell_angle_gamma 119.99
loop_
_space_group_symop_operation_xyz
'x,y,z'
loop_
_atom_site_label
_atom_site_fract_x
_atom_site_fract_y
_atom_site_fract_z
Pm1 0.264 0.528 0.293
Pm2 0.736 0.472 0.707
Pm3 0.767 0.534 0.298
Pm4 0.233 0.466 0.702
Pm5 0.767 0.032 0.299
Pm6 0.233 0.968 0.701
Pm7 0.265 0.032 0.298
Pm8 0.735 0.968 0.702
C1 0.500 0.000 0.500
C2 0.500 0.500 0.500
C3 0.000 0.500 0.500
Se1 0.000 0.000 0.000
Se2 0.000 0.500 0.000
Se3 0.500 0.500 0.000
N1 0.000 0.000 0.500

=====

(8)
# TlZnInGa | Alexandria | PBE-GGA | relaxed
# V in Å³ per cell: 95
# ΔH_f (0 K) in eV per atom: 0.169
# Fermi-level density of states in states/eV per atom: 0.890
# Symmetry: F-43m, No. 216
# Crystal system: cubic
data_TlZnInGa
_space_group_name_H-M_alt 'P 1'
_space_group_IT_number 1
_cell_length_a 5.117
_cell_length_b 5.117
_cell_length_c 5.117
_cell_angle_alpha 60.00
_cell_angle_beta 60.00
_cell_angle_gamma 60.00
loop_
_space_group_symop_operation_xyz
'x,y,z'
loop_
_atom_site_label
_atom_site_fract_x
_atom_site_fract_y
_atom_site_fract_z
Tl1 0.750 0.750 0.750
Zn1 0.000 0.000 0.000
Ga1 0.500 0.500 0.500
In1 0.250 0.250 0.250